# 1
Ca2TbHf after structural relaxation. Source: Alexandria, functional PBE-GGA.

Properties
symmetry	R-3m
V	126.0	Å³ per cell
formation energy	0.5211	eV/atom

The structure in POSCAR format:
```
Ca2TbHf
1.0
-2.525 -0.741 2.114
-2.751 -1.586 -1.147
3.678 -12.049 2.868
Tb Hf Ca
1 1 2
direct
0.500 0.500 0.500
0.000 0.000 0.000
0.085 0.085 0.746
0.915 0.915 0.254
```

# 2
CaTbHf after structural relaxation. Source: Alexandria, functional PBE-GGA.

Properties
symmetry	R-3m
V	183.2	Å³ per cell
formation energy	0.2059	eV/atom

The structure in POSCAR format:
```
CaTbHf
1.0
3.456 0.000 0.000
1.728 2.993 0.000
1.728 0.998 17.710
Ca Hf Tb
2 2 2
direct
0.697 0.697 0.909
0.303 0.303 0.091
0.144 0.144 0.568
0.856 0.856 0.432
0.762 0.762 0.713
0.238 0.238 0.287
```

# 3
Ca3HfTc after structural relaxation. Source: Alexandria, functional PBE-GGA.

Properties
symmetry	Pm-3m
V	152.8	Å³ per cell
formation energy	1.0459	eV/atom

The structure in POSCAR format:
```
Ca3HfTc
1.0
5.346 0.000 0.000
0.000 5.346 0.000
0.000 0.000 5.346
Ca Hf Tc
3 1 1
direct
0.000 0.000 0.500
0.500 0.000 0.000
0.000 0.500 0.000
0.500 0.500 0.500
0.000 0.000 0.000
```

# 4
CaHf2Tc2 after structural relaxation. Source: Alexandria, functional PBE-GGA.

Properties
symmetry	P4/mbm
V	201.8	Å³ per cell
formation energy	-0.0132	eV/atom

The structure in POSCAR format:
```
CaHf2Tc2
1.0
-0.774 -5.081 -6.000
-1.546 -5.813 5.122
-3.155 0.686 -0.174
Ca Tc Hf
2 4 4
direct
0.500 0.500 0.000
0.000 0.000 0.000
0.646 0.146 0.000
0.146 0.354 0.000
0.854 0.646 0.000
0.354 0.854 0.000
0.857 0.357 0.500
0.643 0.857 0.500
0.143 0.643 0.500
0.357 0.143 0.500
```

# 5
CaHfTe2 after structural relaxation. Source: Alexandria, functional PBE-GGA.

Properties
ΔE_f (raw)	-51	kJ/mol of atoms
symmetry	I-42d
V	305.5	Å³ per cell

The structure in POSCAR format:
```
CaHfTe2
1.0
6.854 0.000 0.000
0.000 6.854 0.000
3.427 3.427 6.502
Te Hf Ca
4 2 2
direct
0.094 0.625 0.250
0.375 0.344 0.750
0.875 0.906 0.750
0.656 0.125 0.250
0.000 0.000 0.000
0.750 0.250 0.500
0.250 0.750 0.500
0.500 0.500 0.000
```

# 6
Ca2HfTe4 after structural relaxation. Source: Alexandria, functional PBE-GGA.

Properties
ΔE_f (raw)	-91	kJ/mol of atoms
symmetry	I4/mmm
V	246.6	Å³ per cell

The structure in POSCAR format:
```
Ca2HfTe4
1.0
5.570 0.000 0.000
0.000 5.570 0.000
2.785 2.785 7.950
Ca Te Hf
2 4 1
direct
0.368 0.368 0.265
0.632 0.632 0.735
0.821 0.821 0.359
0.000 0.500 0.000
0.179 0.179 0.641
0.500 0.000 0.000
0.000 0.000 0.000
```

# 7
Ca3HfTe after structural relaxation. Source: Alexandria, functional PBE-GGA.

Properties
ΔE_f (raw)	69	kJ/mol of atoms
symmetry	Pm-3m
V	189.4	Å³ per cell

The structure in POSCAR format:
```
Ca3HfTe
1.0
-1.645 -3.921 -3.860
3.872 2.037 -3.720
3.909 -3.668 2.060
Ca Hf Te
3 1 1
direct
0.500 0.000 0.000
0.000 0.000 0.500
0.000 0.500 0.000
0.000 0.000 0.000
0.500 0.500 0.500
```

# 8
CaHf3Te after structural relaxation. Source: Alexandria, functional PBE-GGA.

Properties
ΔE_f (raw)	162	kJ/mol of atoms
symmetry	Pm-3m
V	134.1	Å³ per cell

The structure in POSCAR format:
```
CaHf3Te
1.0
5.119 0.000 0.000
0.000 5.119 0.000
0.000 0.000 5.119
Hf Ca Te
3 1 1
direct
0.000 0.500 0.000
0.000 0.000 0.500
0.500 0.000 0.000
0.000 0.000 0.000
0.500 0.500 0.500
```

# 9
CaHfTe2 after structural relaxation. Source: Alexandria, functional PBE-GGA.

Properties
ΔE_f (raw)	-66	kJ/mol of atoms
symmetry	R-3m
V	136.9	Å³ per cell

The structure in POSCAR format:
```
CaHfTe2
1.0
6.079 7.558 2.981
7.995 6.243 -0.274
4.964 8.826 -0.645
Te Hf Ca
2 1 1
direct
0.107 0.107 0.107
0.893 0.893 0.893
0.500 0.500 0.500
0.000 0.000 0.000
```

# 10
Ca2HfTe2 after structural relaxation. Source: Alexandria, functional PBE-GGA.

Properties
ΔE_f (raw)	-8	kJ/mol of atoms
symmetry	I4/mmm
V	171.5	Å³ per cell

The structure in POSCAR format:
```
Ca2HfTe2
1.0
5.875 0.000 0.000
0.000 5.875 0.000
2.937 2.937 4.969
Te Ca Hf
2 2 1
direct
0.250 0.750 0.500
0.750 0.250 0.500
0.675 0.675 0.651
0.325 0.325 0.349
0.000 0.000 0.000
```

# 11
CaHfTe2 after structural relaxation. Source: Alexandria, functional PBE-GGA.

Properties
ΔE_f (raw)	-67	kJ/mol of atoms
symmetry	Fm-3m
V	102.0	Å³ per cell

The structure in POSCAR format:
```
CaHfTe2
1.0
-4.308 -2.107 2.122
-4.635 2.388 -0.560
-3.680 -2.109 -3.084
Te Ca Hf
2 1 1
direct
0.250 0.250 0.250
0.750 0.750 0.750
0.000 0.000 0.000
0.500 0.500 0.500
```

# 12
Ca2HfTe2 after structural relaxation. Source: Alexandria, functional PBE-GGA.

Properties
ΔE_f (raw)	-37	kJ/mol of atoms
symmetry	P4/mbm
V	292.4	Å³ per cell

The structure in POSCAR format:
```
Ca2HfTe2
1.0
8.673 0.000 0.000
0.000 8.673 0.000
0.000 0.000 3.887
Ca Hf Te
4 2 4
direct
0.861 0.639 0.000
0.639 0.139 0.000
0.139 0.361 0.000
0.361 0.861 0.000
0.000 0.000 0.000
0.500 0.500 0.000
0.665 0.835 0.500
0.835 0.335 0.500
0.335 0.165 0.500
0.165 0.665 0.500
```

# 13
CaHf3Te after structural relaxation. Source: Alexandria, functional PBE-GGA.

Properties
ΔE_f (raw)	58	kJ/mol of atoms
symmetry	Pm-3m
V	150.0	Å³ per cell

The structure in POSCAR format:
```
CaHf3Te
1.0
5.314 0.000 0.000
0.000 5.314 0.000
0.000 0.000 5.314
Ca Hf Te
1 3 1
direct
0.500 0.500 0.500
0.500 0.000 0.000
0.000 0.000 0.500
0.000 0.500 0.000
0.000 0.000 0.000
```

# 14
CaHfTe2 after structural relaxation. Source: Alexandria, functional PBE-GGA.

Properties
ΔE_f (raw)	-34	kJ/mol of atoms
symmetry	R-3m
V	145.2	Å³ per cell

The structure in POSCAR format:
```
CaHfTe2
1.0
7.442 5.491 2.410
7.226 2.716 5.635
9.199 1.629 2.018
Ca Hf Te
1 1 2
direct
0.500 0.500 0.500
0.000 0.000 0.000
0.098 0.098 0.098
0.902 0.902 0.902
```